# 1
The following is a DFT calculation (PBE) of a relaxed structure of HfAgOs3.

Calculated values
- distance to the lowest polymorph of the same formula (meV/atom) = 0
- formation energy from the elements (eV per atom) = 2.345
- crystal system = cubic
- total magnetization (μB per cell) = 2.5
- space-group type = Pm-3m (221)

a b c (Å): 4.811 4.811 4.811
angles (deg): 90.00 90.00 90.00
Each line ends with the local moment (μB).
Fractional coordinates of all 5 atoms:
Hf: 0.000 0.000 0.000  -0.09
Os: 0.000 0.500 0.000  0.82
Os: 0.000 0.000 0.500  0.81
Os: 0.500 0.000 0.000  0.82
Ag: 0.500 0.500 0.500  0.04

***

# 2
The following is a DFT calculation (PBE) of a relaxed structure of LiOsN2F.

Calculated values
- formation energy from raw total energies (eV per atom) = 1.252
- distance to the lowest polymorph of the same formula (meV/atom) = 1455
- crystal system = tetragonal
- total magnetization (μB per cell) = 1.6
- space-group type = P4/mmm (123)

a b c (Å): 3.796 3.796 3.146
angles (deg): 90.00 90.00 90.00
Each line ends with the local moment (μB).
Fractional coordinates of all 5 atoms:
N: 0.000 0.500 0.000  -0.14
N: 0.500 0.000 0.000  -0.14
Os: 0.500 0.500 0.500  1.77
Li: 0.000 0.000 0.000  0.00
F: 0.000 0.000 0.500  0.09

***

# 3
The following is a DFT calculation (PBE) of a relaxed structure of LaFeMo2.

Calculated values
- distance to the lowest polymorph of the same formula (meV/atom) = 345
- formation energy from the elements (eV per atom) = 0.795
- crystal system = tetragonal
- total magnetization (μB per cell) = 2.2
- space-group type = P4/mmm (123)

a b c (Å): 4.624 4.624 3.297
angles (deg): 90.00 90.00 90.00
Each line ends with the local moment (μB).
Fractional coordinates of all 4 atoms:
Fe: 0.500 0.000 0.500  -2.58
La: 0.000 0.500 0.500  0.00
Mo: 0.000 0.000 0.000  0.18
Mo: 0.500 0.500 0.000  0.18

***

# 4
The following is a DFT calculation (PBE) of a relaxed structure of CsSrLiF4.

Calculated values
- formation energy from raw total energies (eV per atom) = -3.252
- crystal system = monoclinic
- total magnetization (μB per cell) = 0.2
- space-group type = P2_1/m (11)

a b c (Å): 5.724 5.949 8.660
angles (deg): 90.00 118.25 90.00
Each line ends with the local moment (μB).
Fractional coordinates of all 14 atoms:
Cs: 0.629 0.750 0.915  0.00
Cs: 0.371 0.250 0.085  0.00
Sr: 0.773 0.750 0.466  0.00
Sr: 0.227 0.250 0.534  0.00
Li: 0.158 0.750 0.308  0.00
Li: 0.842 0.250 0.692  0.00
F: 0.062 0.489 0.699  0.01
F: 0.938 0.989 0.301  0.01
F: 0.938 0.511 0.301  0.01
F: 0.062 0.011 0.699  0.01
F: 0.350 0.750 0.186  0.06
F: 0.650 0.250 0.814  0.06
F: 0.418 0.750 0.544  0.03
F: 0.582 0.250 0.456  0.03

***

# 5
The following is a DFT calculation (PBE) of a relaxed structure of KTaTe3.

Calculated values
- formation energy from raw total energies (eV per atom) = -0.562
- distance to the lowest polymorph of the same formula (meV/atom) = 0
- crystal system = triclinic
- total magnetization (μB per cell) = 0.0
- space-group type = P1 (1)

a b c (Å): 6.400 7.821 7.919
angles (deg): 119.59 90.18 90.04
Fractional coordinates of all 10 atoms:
K: 0.892 0.725 0.391
K: 0.392 0.375 0.693
Ta: 0.642 0.999 0.042
Ta: 0.142 0.098 0.042
Te: 0.893 0.215 0.371
Te: 0.427 0.385 0.201
Te: 0.925 0.712 0.883
Te: 0.359 0.874 0.204
Te: 0.858 0.223 0.880
Te: 0.391 0.883 0.713

***

# 6
The following is a DFT calculation (PBE) of a relaxed structure of SmCu2Pt4.

Calculated values
- distance to the lowest polymorph of the same formula (meV/atom) = 0
- formation energy from the elements (eV per atom) = -0.480
- crystal system = monoclinic
- total magnetization (μB per cell) = 0.0
- space-group type = C2/m (12)

a b c (Å): 5.153 5.440 5.440
angles (deg): 76.78 61.62 61.62
Fractional coordinates of all 7 atoms:
Pt: 0.699 0.601 0.000
Pt: 0.301 0.399 0.000
Pt: 0.699 0.000 0.601
Pt: 0.301 0.000 0.399
Cu: 0.750 0.500 0.500
Cu: 0.250 0.500 0.500
Sm: 0.000 0.000 0.000

***

# 7
The following is a DFT calculation (PBE) of a relaxed structure of LiSc7Tl4.

Calculated values
- formation energy from the elements (eV per atom) = 0.038
- crystal system = monoclinic
- total magnetization (μB per cell) = 2.3
- space-group type = C2/m (12)

a b c (Å): 5.247 8.892 7.307
angles (deg): 81.55 68.96 72.84
Each line ends with the local moment (μB).
Fractional coordinates of all 12 atoms:
Li: 0.000 0.000 0.000  0.01
Sc: 0.784 0.872 0.560  0.25
Sc: 0.216 0.128 0.440  0.25
Sc: 0.071 0.672 0.186  0.26
Sc: 0.929 0.328 0.814  0.26
Sc: 0.344 0.586 0.725  0.19
Sc: 0.500 0.000 0.000  0.18
Sc: 0.656 0.414 0.275  0.19
Tl: 0.573 0.218 0.636  0.00
Tl: 0.427 0.782 0.364  0.00
Tl: 0.708 0.666 0.919  0.00
Tl: 0.292 0.334 0.081  0.00

***

# 8
The following is a DFT calculation (PBE) of a relaxed structure of Eu3Tm.

Calculated values
- distance to the lowest polymorph of the same formula (meV/atom) = 0
- formation energy from the elements (eV per atom) = 0.097
- crystal system = hexagonal
- total magnetization (μB per cell) = 45.4
- space-group type = P6_3/mmc (194)

a b c (Å): 7.598 7.598 6.089
angles (deg): 90.00 90.00 120.00
Each line ends with the local moment (μB).
Fractional coordinates of all 8 atoms:
Eu: 0.170 0.340 0.250  6.96
Eu: 0.660 0.830 0.250  6.96
Eu: 0.170 0.830 0.250  6.96
Eu: 0.830 0.660 0.750  6.96
Eu: 0.340 0.170 0.750  6.96
Eu: 0.830 0.170 0.750  6.96
Tm: 0.333 0.667 0.750  0.32
Tm: 0.667 0.333 0.250  0.32

***

# 9
The following is a DFT calculation (PBE) of a relaxed structure of NiAsPd.

Calculated values
- formation energy from the elements (eV per atom) = -0.319
- crystal system = hexagonal
- total magnetization (μB per cell) = 0.0
- space-group type = P-62m (189)

a b c (Å): 6.232 6.232 3.799
angles (deg): 90.00 90.00 120.00
Fractional coordinates of all 9 atoms:
Ni: 0.000 0.751 0.000
Ni: 0.249 0.249 0.000
Ni: 0.751 0.000 0.000
As: 0.333 0.667 0.000
As: 0.667 0.333 0.000
As: 0.000 0.000 0.500
Pd: 0.000 0.410 0.500
Pd: 0.590 0.590 0.500
Pd: 0.410 0.000 0.500

***

# 10
The following is a DFT calculation (PBE) of a relaxed structure of SrMg2Ir.

Calculated values
- formation energy from the elements (eV per atom) = 0.211
- crystal system = trigonal
- total magnetization (μB per cell) = 0.0
- space-group type = R-3m (166)

a b c (Å): 10.069 10.069 10.069
angles (deg): 19.04 19.04 19.04
Fractional coordinates of all 4 atoms:
Ir: 0.750 0.750 0.750
Mg: 0.020 0.020 0.020
Mg: 0.480 0.480 0.480
Sr: 0.250 0.250 0.250

***

# 11
The following is a DFT calculation (PBE) of a relaxed structure of SmInCoAg.

Calculated values
- formation energy from the elements (eV per atom) = -0.090
- crystal system = cubic
- total magnetization (μB per cell) = 1.3
- space-group type = F-43m (216)

a b c (Å): 4.859 4.859 4.859
angles (deg): 60.00 60.00 60.00
Each line ends with the local moment (μB).
Fractional coordinates of all 4 atoms:
Co: 0.750 0.750 0.750  1.32
Ag: 0.250 0.250 0.250  0.03
Sm: 0.500 0.500 0.500  -0.05
In: 0.000 0.000 0.000  0.01

***

# 12
The following is a DFT calculation (PBE) of a relaxed structure of Dy2ScSi2.

Calculated values
- formation energy from raw total energies (eV per atom) = -0.709
- distance to the lowest polymorph of the same formula (meV/atom) = 0
- crystal system = orthorhombic
- total magnetization (μB per cell) = 0.0
- space-group type = Immm (71)

a b c (Å): 4.203 5.746 5.746
angles (deg): 62.64 68.55 68.55
Fractional coordinates of all 5 atoms:
Dy: 0.702 0.797 0.298
Dy: 0.298 0.203 0.702
Sc: 0.500 0.500 0.000
Si: 0.000 0.207 0.293
Si: 0.000 0.793 0.707

***

# 13
The following is a DFT calculation (PBE) of a relaxed structure of Y3AuSe2.

Calculated values
- formation energy from raw total energies (eV per atom) = -1.452
- distance to the lowest polymorph of the same formula (meV/atom) = 0
- crystal system = orthorhombic
- total magnetization (μB per cell) = 0.0
- space-group type = Fddd (70)

a b c (Å): 7.187 7.187 12.959
angles (deg): 100.81 100.81 108.87
Fractional coordinates of all 24 atoms:
Y: 0.167 0.665 0.834
Y: 0.668 0.169 0.834
Y: 0.083 0.085 0.666
Y: 0.582 0.581 0.666
Y: 0.999 0.499 0.500
Y: 0.501 0.001 0.500
Y: 0.419 0.418 0.334
Y: 0.915 0.917 0.334
Y: 0.831 0.332 0.166
Y: 0.335 0.833 0.166
Y: 0.251 0.251 0.000
Y: 0.749 0.749 0.000
Au: 0.916 0.916 0.832
Au: 0.334 0.834 0.668
Au: 0.166 0.666 0.332
Au: 0.084 0.084 0.168
Se: 0.000 0.500 0.999
Se: 0.418 0.418 0.836
Se: 0.832 0.332 0.664
Se: 0.250 0.250 0.501
Se: 0.750 0.750 0.499
Se: 0.668 0.168 0.336
Se: 0.582 0.582 0.164
Se: 0.500 0.000 0.001

***

# 14
The following is a DFT calculation (PBE) of a relaxed structure of Sr3DyHg4.

Calculated values
- formation energy from the elements (eV per atom) = -0.512
- crystal system = tetragonal
- total magnetization (μB per cell) = 0.0
- space-group type = P4/mmm (123)

a b c (Å): 3.892 3.892 15.972
angles (deg): 90.00 90.00 90.00
Fractional coordinates of all 8 atoms:
Sr: 0.500 0.500 0.241
Sr: 0.500 0.500 0.500
Sr: 0.500 0.500 0.759
Hg: 0.000 0.000 0.894
Hg: 0.000 0.000 0.106
Hg: 0.000 0.000 0.370
Hg: 0.000 0.000 0.630
Dy: 0.500 0.500 0.000

***

# 15
The following is a DFT calculation (PBE) of a relaxed structure of Zr2TaMo.

Calculated values
- distance to the lowest polymorph of the same formula (meV/atom) = 106
- formation energy from the elements (eV per atom) = 0.090
- crystal system = cubic
- total magnetization (μB per cell) = 0.0
- space-group type = F-43m (216)

a b c (Å): 4.783 4.783 4.783
angles (deg): 60.00 60.00 60.00
Fractional coordinates of all 4 atoms:
Mo: 0.500 0.500 0.500
Ta: 0.750 0.750 0.750
Zr: 0.000 0.000 0.000
Zr: 0.250 0.250 0.250

***

# 16
The following is a DFT calculation (PBE) of a relaxed structure of LiCoNi.

Calculated values
- distance to the lowest polymorph of the same formula (meV/atom) = 455
- formation energy from the elements (eV per atom) = 0.481
- crystal system = cubic
- total magnetization (μB per cell) = 2.3
- space-group type = F-43m (216)

a b c (Å): 3.838 3.838 3.838
angles (deg): 60.00 60.00 60.00
Each line ends with the local moment (μB).
Fractional coordinates of all 3 atoms:
Co: 0.000 0.000 0.000  1.75
Li: 0.500 0.500 0.500  -0.04
Ni: 0.750 0.750 0.750  0.72

***

# 17
The following is a DFT calculation (PBE) of a relaxed structure of KNaMg2Zn.

Calculated values
- distance to the lowest polymorph of the same formula (meV/atom) = 478
- formation energy from the elements (eV per atom) = 0.601
- crystal system = tetragonal
- total magnetization (μB per cell) = 0.0
- space-group type = P4/mmm (123)

a b c (Å): 5.808 6.299 5.808
angles (deg): 90.00 90.00 90.00
Fractional coordinates of all 5 atoms:
Mg: 0.000 0.000 0.500
Mg: 0.500 0.000 0.000
Na: 0.000 0.000 0.000
Zn: 0.500 0.500 0.500
K: 0.000 0.500 0.000

***

# 18
The following is a DFT calculation (PBE) of a relaxed structure of Ho6CdAg2.

Calculated values
- formation energy from the elements (eV per atom) = -0.175
- crystal system = orthorhombic
- total magnetization (μB per cell) = 0.0
- space-group type = Immm (71)

a b c (Å): 8.621 8.621 8.621
angles (deg): 107.65 111.67 109.12
Fractional coordinates of all 18 atoms:
Ho: 0.548 0.728 0.820
Ho: 0.452 0.272 0.180
Ho: 0.092 0.272 0.820
Ho: 0.908 0.728 0.180
Ho: 0.800 0.754 0.555
Ho: 0.200 0.246 0.445
Ho: 0.200 0.754 0.954
Ho: 0.800 0.246 0.046
Ho: 0.720 0.397 0.677
Ho: 0.280 0.603 0.323
Ho: 0.280 0.956 0.677
Ho: 0.720 0.044 0.323
Cd: 0.000 0.500 0.500
Cd: 0.000 0.000 0.000
Ag: 0.500 0.366 0.866
Ag: 0.500 0.634 0.134
Ag: 0.646 0.000 0.646
Ag: 0.354 0.000 0.354

***

# 19
The following is a DFT calculation (PBE) of a relaxed structure of LiEr2Al9.

Calculated values
- formation energy from the elements (eV per atom) = -0.304
- crystal system = tetragonal
- total magnetization (μB per cell) = 0.0
- space-group type = P4/mmm (123)

a b c (Å): 4.185 4.185 12.396
angles (deg): 90.00 90.00 90.00
Fractional coordinates of all 12 atoms:
Li: 0.000 0.000 0.000
Er: 0.000 0.000 0.328
Er: 0.000 0.000 0.672
Al: 0.500 0.500 0.000
Al: 0.500 0.500 0.329
Al: 0.500 0.500 0.671
Al: 0.500 0.000 0.152
Al: 0.500 0.000 0.500
Al: 0.500 0.000 0.848
Al: 0.000 0.500 0.152
Al: 0.000 0.500 0.500
Al: 0.000 0.500 0.848

***

# 20
The following is a DFT calculation (PBE) of a relaxed structure of MgURhO6.

Calculated values
- formation energy from raw total energies (eV per atom) = -2.153
- crystal system = trigonal
- total magnetization (μB per cell) = 2.1
- space-group type = P-31c (163)

a b c (Å): 5.269 5.269 9.238
angles (deg): 90.00 90.00 120.00
Each line ends with the local moment (μB).
Fractional coordinates of all 18 atoms:
Mg: 0.000 0.000 0.000  0.00
Mg: 0.000 0.000 0.500  0.00
U: 0.667 0.333 0.250  0.00
U: 0.333 0.667 0.750  0.00
Rh: 0.333 0.667 0.250  0.47
Rh: 0.667 0.333 0.750  0.47
O: 0.655 0.666 0.130  0.08
O: 0.010 0.345 0.130  0.08
O: 0.345 0.010 0.630  0.08
O: 0.990 0.655 0.870  0.08
O: 0.334 0.345 0.370  0.08
O: 0.010 0.666 0.370  0.08
O: 0.666 0.010 0.870  0.08
O: 0.655 0.990 0.370  0.08
O: 0.990 0.334 0.630  0.08
O: 0.334 0.990 0.130  0.08
O: 0.666 0.655 0.630  0.08
O: 0.345 0.334 0.870  0.08

***

# 21
The following is a DFT calculation (PBE) of a relaxed structure of BaNiB3.

Calculated values
- distance to the lowest polymorph of the same formula (meV/atom) = 2365
- formation energy from the elements (eV per atom) = 3.264
- crystal system = cubic
- total magnetization (μB per cell) = 0.0
- space-group type = Pm-3m (221)

a b c (Å): 4.846 4.846 4.846
angles (deg): 90.00 90.00 90.00
Fractional coordinates of all 5 atoms:
Ni: 0.500 0.500 0.500
B: 0.000 0.500 0.000
B: 0.000 0.000 0.500
B: 0.500 0.000 0.000
Ba: 0.000 0.000 0.000

***

# 22
The following is a DFT calculation (PBE) of a relaxed structure of Tc2NiW.

Calculated values
- distance to the lowest polymorph of the same formula (meV/atom) = 146
- formation energy from the elements (eV per atom) = 0.131
- crystal system = orthorhombic
- total magnetization (μB per cell) = 0.0
- space-group type = Pmmm (47)

a b c (Å): 2.664 3.902 5.491
angles (deg): 90.00 90.00 90.00
Fractional coordinates of all 4 atoms:
Ni: 0.500 0.500 0.750
Tc: 0.000 0.000 0.978
Tc: 0.000 0.000 0.522
W: 0.500 0.500 0.250

***

# 23
The following is a DFT calculation (PBE) of a relaxed structure of Nd2ThZrP4.

Calculated values
- formation energy from the elements (eV per atom) = -1.468
- crystal system = monoclinic
- total magnetization (μB per cell) = 0.0
- space-group type = P2/m (10)

a b c (Å): 4.052 7.005 7.043
angles (deg): 109.32 90.00 90.00
Fractional coordinates of all 8 atoms:
Nd: 0.500 0.000 0.500
Nd: 0.000 0.500 0.500
Th: 0.500 0.500 0.000
Zr: 0.000 0.000 0.000
P: 0.500 0.233 0.231
P: 0.500 0.767 0.769
P: 0.000 0.241 0.762
P: 0.000 0.759 0.238

***

# 24
The following is a DFT calculation (PBE) of a relaxed structure of Cd2Pd2Se.

Calculated values
- formation energy from raw total energies (eV per atom) = -0.265
- distance to the lowest polymorph of the same formula (meV/atom) = 0
- crystal system = tetragonal
- total magnetization (μB per cell) = 0.0
- space-group type = P4/mbm (127)

a b c (Å): 6.943 6.943 3.966
angles (deg): 90.00 90.00 90.00
Fractional coordinates of all 10 atoms:
Se: 0.000 0.000 0.000
Se: 0.500 0.500 0.000
Pd: 0.353 0.853 0.000
Pd: 0.853 0.647 0.000
Pd: 0.647 0.147 0.000
Pd: 0.147 0.353 0.000
Cd: 0.154 0.654 0.500
Cd: 0.654 0.846 0.500
Cd: 0.846 0.346 0.500
Cd: 0.346 0.154 0.500